(1)
# Y2ZnNiBi

Crystalline Y2ZnNiBi at its relaxed geometry (PBE, Alexandria).

Cell and atoms, written as extended XYZ:
```
5
Lattice="-1.787 -4.849 0.579 3.511 -0.847 3.741 -3.016 1.489 3.167" Properties=species:S:1:pos:R:3 pbc="T T T"
Zn -1.508 0.745 1.584
Bi -0.646 -2.103 3.744
Y 1.755 -0.424 1.871
Y -0.893 -2.424 0.289
Ni 0.000 0.000 0.000
```

Summary:
**DOS(E_F)**: 3.757 states/eV per cell
**SG**: P4/mmm (123)
**Calculated total energy**: -5.155 eV per atom


(2)
# YZnNiBi2

Crystalline YZnNiBi2 at its relaxed geometry (PBE, Alexandria).

Cell and atoms, written as extended XYZ:
```
5
Lattice="5.229 0.000 0.000 0.000 5.365 0.000 0.000 0.000 5.229" Properties=species:S:1:pos:R:3 pbc="T T T"
Zn 0.000 0.000 0.000
Ni 2.614 2.683 2.614
Bi 0.000 0.000 2.614
Bi 2.614 0.000 0.000
Y 0.000 2.683 0.000
```

Summary:
**DOS(E_F)**: 5.107 states/eV per cell
**SG**: P4/mmm (123)
**Calculated total energy**: -3.593 eV per atom


(3)
# ZnNiBi2

Crystalline ZnNiBi2 at its relaxed geometry (PBE, Alexandria).

Cell and atoms, written as extended XYZ:
```
8
Lattice="-3.426 -3.779 0.101 3.759 -3.420 -0.449 0.794 -3.955 7.780" Properties=species:S:1:pos:R:3 pbc="T T T"
Zn -1.233 -5.667 3.853
Zn 0.000 0.000 0.000
Bi -1.346 -3.638 1.948
Bi 1.993 -3.738 1.680
Bi 0.748 -9.139 5.547
Bi 0.859 -5.792 5.688
Ni 2.359 -5.487 3.578
Ni 0.166 -3.599 -0.174
```

Summary:
**DOS(E_F)**: 3.740 states/eV per cell
**SG**: I-42d (122)
**Calculated total energy**: -3.428 eV per atom